<w>
Entry from the Alexandria database: a relaxed structure of Dy2PbS (PBE).

Output
Space-group type: No. 12
Crystal system: monoclinic
Mass density in g/cm³: 9.24

a = 3.861 Å, b = 3.861 Å, c = 8.190 Å
α = 89.64°, β = 103.92°, γ = 120.21°
Positions (direct):
S 0.000 0.000 0.000
Dy 0.467 0.731 0.198
Dy 0.533 0.269 0.802
Pb 0.000 0.500 0.500

---

<x>
Entry from the Alexandria database: a relaxed structure of Dy2PbS (PBE).

Output
Space-group type: No. 164
Crystal system: trigonal
Mass density in g/cm³: 9.17

a = 3.793 Å, b = 3.793 Å, c = 8.204 Å
α = 90.00°, β = 90.00°, γ = 60.00°
Positions (direct):
Pb 0.000 0.000 0.500
Dy 0.333 0.333 0.806
Dy 0.667 0.667 0.194
S 0.000 0.000 0.000

---

If we sort the structures by their calculated energies, the order from most to least stable is <w>, <x>.

---

<w>
Entry from the Alexandria database: a relaxed structure of DySb2Pb (PBE).

Output
Space-group type: No. 160
Crystal system: trigonal
Mass density in g/cm³: 7.77

a = 4.547 Å, b = 4.547 Å, c = 7.773 Å
α = 72.99°, β = 72.99°, γ = 60.00°
Positions (direct):
Pb 0.497 0.497 0.508
Sb 0.259 0.259 0.224
Sb 0.076 0.076 0.771
Dy 0.668 0.668 0.997

---

<x>
Entry from the Alexandria database: a relaxed structure of DySb2Pb (PBE).

Output
Space-group type: No. 123
Crystal system: tetragonal
Mass density in g/cm³: 9.07

a = 4.099 Å, b = 5.233 Å, c = 5.233 Å
α = 90.00°, β = 90.00°, γ = 90.00°
Positions (direct):
Pb 0.500 0.500 0.500
Sb 0.000 0.500 0.000
Sb 0.000 0.000 0.500
Dy 0.500 0.000 0.000

---

If we sort the structures by their calculated energies, the order from most to least stable is <x>, <w>.

---

<w>
Entry from the Alexandria database: a relaxed structure of DySb2Pb (PBE).

Output
Space-group type: No. 123
Crystal system: tetragonal
Mass density in g/cm³: 8.98

a = 4.128 Å, b = 4.128 Å, c = 6.655 Å
α = 90.00°, β = 90.00°, γ = 90.00°
Positions (direct):
Sb 0.000 0.000 0.228
Sb 0.000 0.000 0.772
Dy 0.500 0.500 0.000
Pb 0.500 0.500 0.500

---

<x>
Entry from the Alexandria database: a relaxed structure of DySb2Pb (PBE).

Output
Space-group type: No. 166
Crystal system: trigonal
Mass density in g/cm³: 7.97

a = 4.378 Å, b = 4.378 Å, c = 8.097 Å
α = 74.31°, β = 74.31°, γ = 60.00°
Positions (direct):
Sb 0.255 0.255 0.234
Sb 0.745 0.745 0.766
Pb 0.500 0.500 0.500
Dy 0.000 0.000 0.000

---

If we sort the structures by their calculated energies, the order from most to least stable is <w>, <x>.

---

<w>
Entry from the Alexandria database: a relaxed structure of Dy5Sb4Pb (PBE).

Output
Space-group type: No. 87
Crystal system: tetragonal
Mass density in g/cm³: 8.34

a = 6.215 Å, b = 7.613 Å, c = 7.613 Å
α = 80.41°, β = 65.91°, γ = 65.91°
Positions (direct):
Dy 0.697 0.202 0.405
Dy 0.899 0.405 0.798
Dy 0.305 0.798 0.595
Dy 0.501 0.000 0.000
Dy 0.103 0.595 0.202
Sb 0.801 0.801 0.600
Sb 0.401 0.400 0.801
Sb 0.602 0.600 0.199
Sb 0.201 0.199 0.400
Pb 0.001 0.000 0.000

---

<x>
Entry from the Alexandria database: a relaxed structure of Dy5Sb4Pb (PBE).

Output
Space-group type: No. 12
Crystal system: monoclinic
Mass density in g/cm³: 8.33

a = 4.363 Å, b = 7.646 Å, c = 9.841 Å
α = 75.36°, β = 77.19°, γ = 73.42°
Positions (direct):
Pb 0.000 0.000 0.000
Dy 0.201 0.901 0.696
Dy 0.603 0.690 0.104
Dy 0.799 0.099 0.304
Dy 0.000 0.500 0.500
Dy 0.397 0.310 0.896
Sb 0.201 0.397 0.201
Sb 0.600 0.201 0.600
Sb 0.400 0.799 0.400
Sb 0.799 0.603 0.799

---

If we sort the structures by their calculated energies, the order from most to least stable is <x>, <w>.

---

<w>
Entry from the Alexandria database: a relaxed structure of Dy2SbPb (PBE).

Output
Space-group type: No. 63
Crystal system: orthorhombic
Mass density in g/cm³: 9.18

a = 4.387 Å, b = 4.480 Å, c = 12.242 Å
α = 100.54°, β = 90.00°, γ = 90.00°
Positions (direct):
Pb 0.250 0.450 0.900
Pb 0.750 0.550 0.100
Dy 0.250 0.314 0.628
Dy 0.250 0.063 0.125
Dy 0.750 0.937 0.875
Dy 0.750 0.686 0.372
Sb 0.750 0.813 0.625
Sb 0.250 0.187 0.375

---

<x>
Entry from the Alexandria database: a relaxed structure of Dy2SbPb (PBE).

Output
Space-group type: No. 123
Crystal system: tetragonal
Mass density in g/cm³: 9.81

a = 4.014 Å, b = 4.014 Å, c = 6.871 Å
α = 90.00°, β = 90.00°, γ = 90.00°
Positions (direct):
Pb 0.500 0.500 0.500
Dy 0.000 0.000 0.241
Dy 0.000 0.000 0.759
Sb 0.500 0.500 0.000

---

<y>
Entry from the Alexandria database: a relaxed structure of Dy2SbPb (PBE).

Output
Space-group type: No. 12
Crystal system: monoclinic
Mass density in g/cm³: 8.94

a = 4.245 Å, b = 4.245 Å, c = 8.159 Å
α = 90.06°, β = 105.05°, γ = 119.94°
Positions (direct):
Dy 0.490 0.745 0.235
Dy 0.510 0.255 0.765
Sb 0.000 0.000 0.000
Pb 0.000 0.500 0.500

---

If we sort the structures by their calculated energies, the order from most to least stable is <w>, <y>, <x>.

---

<w>
Entry from the Alexandria database: a relaxed structure of DySc2Pb (PBE).

Output
Space-group type: No. 123
Crystal system: tetragonal
Mass density in g/cm³: 7.51

a = 4.649 Å, b = 4.675 Å, c = 4.675 Å
α = 90.00°, β = 90.00°, γ = 90.00°
Each line ends with the local moment (μB).
Positions (direct):
Pb 0.500 0.500 0.500  -0.01
Dy 0.500 0.000 0.000  0.31
Sc 0.000 0.500 0.000  0.38
Sc 0.000 0.000 0.500  0.38

---

<x>
Entry from the Alexandria database: a relaxed structure of DySc2Pb (PBE).

Output
Space-group type: No. 216
Crystal system: cubic
Mass density in g/cm³: 7.51

a = 5.237 Å, b = 5.237 Å, c = 5.239 Å
α = 60.01°, β = 60.01°, γ = 60.00°
Each line ends with the local moment (μB).
Positions (direct):
Pb 0.750 0.750 0.750  -0.01
Sc 0.000 0.000 0.000  0.21
Sc 0.250 0.250 0.250  0.32
Dy 0.500 0.500 0.500  0.16

---

If we sort the structures by their calculated energies, the order from most to least stable is <w>, <x>.

---

<w>
Entry from the Alexandria database: a relaxed structure of Dy3Sc2Pb4 (PBE).

Output
Space-group type: No. 12
Crystal system: monoclinic
Mass density in g/cm³: 9.25

a = 4.947 Å, b = 6.766 Å, c = 8.256 Å
α = 105.92°, β = 107.43°, γ = 90.00°
Positions (direct):
Dy 0.121 0.595 0.241
Dy 0.000 0.000 0.000
Dy 0.879 0.405 0.759
Pb 0.765 0.733 0.530
Pb 0.510 0.283 0.021
Pb 0.235 0.267 0.470
Pb 0.490 0.717 0.979
Sc 0.332 0.941 0.664
Sc 0.668 0.059 0.336

---

<x>
Entry from the Alexandria database: a relaxed structure of Dy3Sc2Pb4 (PBE).

Output
Space-group type: No. 12
Crystal system: monoclinic
Mass density in g/cm³: 9.34

a = 4.973 Å, b = 6.743 Å, c = 9.657 Å
α = 121.15°, β = 90.00°, γ = 111.64°
Positions (direct):
Pb 0.072 0.145 0.402
Pb 0.329 0.659 0.966
Pb 0.928 0.855 0.598
Pb 0.671 0.341 0.034
Dy 0.347 0.695 0.307
Dy 0.000 0.000 0.000
Dy 0.653 0.305 0.693
Sc 0.359 0.717 0.683
Sc 0.641 0.283 0.317

---

If we sort the structures by their calculated energies, the order from most to least stable is <x>, <w>.

---

<w>
Entry from the Alexandria database: a relaxed structure of Dy2PbSe (PBE).

Output
Space-group type: No. 156
Crystal system: trigonal
Mass density in g/cm³: 7.72

a = 4.492 Å, b = 4.492 Å, c = 7.526 Å
α = 90.00°, β = 90.00°, γ = 120.00°
Positions (direct):
Dy 0.333 0.667 0.760
Dy 0.667 0.333 0.205
Se 0.667 0.333 0.576
Pb 0.000 0.000 0.004

---

<x>
Entry from the Alexandria database: a relaxed structure of Dy2PbSe (PBE).

Output
Space-group type: No. 123
Crystal system: tetragonal
Mass density in g/cm³: 10.07

a = 3.541 Å, b = 3.541 Å, c = 8.037 Å
α = 90.00°, β = 90.00°, γ = 90.00°
Each line ends with the local moment (μB).
Positions (direct):
Se 0.500 0.500 0.000  0.00
Dy 0.000 0.000 0.225  0.17
Dy 0.000 0.000 0.775  0.17
Pb 0.500 0.500 0.500  -0.01

---

If we sort the structures by their calculated energies, the order from most to least stable is <x>, <w>.

---

<w>
Entry from the Alexandria database: a relaxed structure of Dy2PbSe (PBE).

Output
Space-group type: No. 166
Crystal system: trigonal
Mass density in g/cm³: 9.21

a = 4.235 Å, b = 4.235 Å, c = 7.507 Å
α = 73.61°, β = 73.61°, γ = 60.00°
Positions (direct):
Dy 0.746 0.746 0.763
Dy 0.254 0.254 0.237
Se 0.000 0.000 0.000
Pb 0.500 0.500 0.500

---

<x>
Entry from the Alexandria database: a relaxed structure of Dy2PbSe (PBE).

Output
Space-group type: No. 160
Crystal system: trigonal
Mass density in g/cm³: 9.38

a = 3.891 Å, b = 3.891 Å, c = 8.554 Å
α = 76.85°, β = 76.85°, γ = 60.00°
Positions (direct):
Pb 0.499 0.499 0.502
Dy 0.263 0.263 0.210
Dy 0.070 0.070 0.790
Se 0.667 0.667 0.998

---

If we sort the structures by their calculated energies, the order from most to least stable is <w>, <x>.

---

<w>
Entry from the Alexandria database: a relaxed structure of SmDy2Pb (PBE).

Output
Space-group type: No. 166
Crystal system: trigonal
Mass density in g/cm³: 8.61

a = 3.548 Å, b = 3.548 Å, c = 12.248 Å
α = 81.67°, β = 81.67°, γ = 60.00°
Positions (direct):
Dy 0.088 0.088 0.737
Dy 0.912 0.912 0.263
Sm 0.500 0.500 0.500
Pb 0.000 0.000 0.000

---

<x>
Entry from the Alexandria database: a relaxed structure of SmDy2Pb (PBE).

Output
Space-group type: No. 11
Crystal system: monoclinic
Mass density in g/cm³: 9.05

a = 4.709 Å, b = 4.673 Å, c = 11.622 Å
α = 101.54°, β = 90.00°, γ = 90.00°
Positions (direct):
Dy 0.750 0.442 0.884
Dy 0.250 0.558 0.116
Dy 0.250 0.938 0.876
Dy 0.750 0.062 0.124
Sm 0.750 0.690 0.384
Sm 0.250 0.310 0.616
Pb 0.750 0.836 0.668
Pb 0.250 0.164 0.332

---

<y>
Entry from the Alexandria database: a relaxed structure of SmDy2Pb (PBE).

Output
Space-group type: No. 63
Crystal system: orthorhombic
Mass density in g/cm³: 8.84

a = 4.282 Å, b = 6.664 Å, c = 9.488 Å
α = 90.00°, β = 90.00°, γ = 108.74°
Each line ends with the local moment (μB).
Positions (direct):
Dy 0.634 0.267 0.051  0.09
Dy 0.634 0.267 0.449  0.09
Dy 0.366 0.733 0.551  0.09
Dy 0.366 0.733 0.949  0.09
Sm 0.943 0.887 0.250  0.06
Sm 0.057 0.113 0.750  0.06
Pb 0.754 0.509 0.750  0.00
Pb 0.246 0.491 0.250  0.00

---

If we sort the structures by their calculated energies, the order from most to least stable is <x>, <y>, <w>.

---

<w>
Entry from the Alexandria database: a relaxed structure of SmDy2Pb (PBE).

Output
Space-group type: No. 123
Crystal system: tetragonal
Mass density in g/cm³: 9.73

a = 4.867 Å, b = 4.891 Å, c = 4.891 Å
α = 90.00°, β = 90.00°, γ = 90.00°
Positions (direct):
Pb 0.500 0.500 0.500
Dy 0.000 0.000 0.500
Dy 0.000 0.500 0.000
Sm 0.500 0.000 0.000

---

<x>
Entry from the Alexandria database: a relaxed structure of SmDy2Pb (PBE).

Output
Space-group type: No. 123
Crystal system: tetragonal
Mass density in g/cm³: 9.19

a = 3.628 Å, b = 3.628 Å, c = 9.375 Å
α = 90.00°, β = 90.00°, γ = 90.00°
Positions (direct):
Pb 0.500 0.500 0.000
Dy 0.000 0.000 0.232
Dy 0.000 0.000 0.768
Sm 0.500 0.500 0.500

---

<y>
Entry from the Alexandria database: a relaxed structure of SmDy2Pb (PBE).

Output
Space-group type: No. 160
Crystal system: trigonal
Mass density in g/cm³: 9.08

a = 3.616 Å, b = 3.616 Å, c = 11.223 Å
α = 80.73°, β = 80.73°, γ = 60.00°
Positions (direct):
Dy 0.254 0.254 0.237
Dy 0.079 0.079 0.762
Sm 0.500 0.500 0.500
Pb 0.667 0.667 0.000

---

If we sort the structures by their calculated energies, the order from most to least stable is <w>, <x>, <y>.

---

<w>
Entry from the Alexandria database: a relaxed structure of Sm2DyPb3 (PBE).

Output
Space-group type: No. 15
Crystal system: monoclinic
Mass density in g/cm³: 9.89

a = 5.913 Å, b = 8.650 Å, c = 8.650 Å
α = 113.95°, β = 103.66°, γ = 103.66°
Positions (direct):
Dy 0.250 0.584 0.416
Dy 0.750 0.416 0.584
Pb 0.000 0.500 0.000
Pb 0.496 0.336 0.172
Pb 0.500 0.000 0.500
Pb 0.504 0.664 0.828
Pb 0.996 0.172 0.336
Pb 0.004 0.828 0.664
Sm 0.250 0.249 0.751
Sm 0.250 0.917 0.083
Sm 0.750 0.083 0.917
Sm 0.750 0.751 0.249

---

<x>
Entry from the Alexandria database: a relaxed structure of Sm2DyPb3 (PBE).

Output
Space-group type: No. 15
Crystal system: monoclinic
Mass density in g/cm³: 10.21

a = 6.462 Å, b = 6.488 Å, c = 9.160 Å
α = 110.74°, β = 99.99°, γ = 90.00°
Positions (direct):
Dy 0.250 0.876 0.000
Dy 0.750 0.124 0.000
Sm 0.086 0.792 0.334
Sm 0.586 0.542 0.334
Sm 0.414 0.458 0.666
Sm 0.914 0.208 0.666
Pb 0.418 0.960 0.671
Pb 0.750 0.625 0.000
Pb 0.250 0.375 0.000
Pb 0.582 0.040 0.329
Pb 0.082 0.289 0.329
Pb 0.918 0.711 0.671

---

If we sort the structures by their calculated energies, the order from most to least stable is <x>, <w>.